Density functional theory data (GGA+U) for crystalline Ni3RhO at its relaxed geometry.

Unit cell a=3.9383 b=3.9383 c=3.9383 alpha=90.00 beta=90.00 gamma=90.00
Last column: nearest neighbours and their distance in Å.
Space group Pm-3m (No. 221)
Symmetry-distinct sites (fractional):
Ni (0.0000, 0.0000, 0.5000) [3 per cell]  2 O 1.97
Rh (0.5000, 0.5000, 0.5000) [1 per cell]  12 Ni 2.78
O (0.0000, 0.0000, 0.0000) [1 per cell]  6 Ni 1.97

V   12.22 A^3/atom
Distance to the lowest polymorph of the same formula   0 meV per atom